[1]
## DySc5In6 (PBE)

Data for a relaxed structure of DySc5In6.

The space group is Immm (No. 71) and the conventional cell measures 4.620, 8.691 and 13.843 Å, with angles of 90.00, 90.00 and 90.00 degrees. The distinct sites, in fractional coordinates, are Dy at (0.000, 0.000, 0.000), Sc at (0.000, 0.000, 0.332), Sc at (0.000, 0.500, 0.000), Sc at (0.000, 0.500, 0.331), In at (0.000, 0.244, 0.500) and In at (0.000, 0.253, 0.169).

For the calculated total energy, the calculation gives -4.82 eV/atom.



[2]
## NdNp2Co9 (PBE)

Data for a relaxed structure of NdNp2Co9.

The space group is R-3m (No. 166, hexagonal axes) and the conventional cell measures 4.9067, 4.9067 and 24.4857 Å, with angles of 90.00, 90.00 and 120.00 degrees. The distinct sites, in fractional coordinates, are Nd at (0.0000, 0.0000, 0.0000), Np at (0.0000, 0.0000, 0.1406), Co at (0.0000, 0.0000, 0.3331), Co at (0.0000, 0.0000, 0.5000) and Co at (0.0002, 0.5001, 0.0829).

For the calculated total energy, the calculation gives -7.95 eV/atom.



[3]
## CoSiW2 (PBE)

Data for a relaxed structure of CoSiW2.

The space group is P4mm (No. 99) and the conventional cell measures 3.153, 3.153 and 5.582 Å, with angles of 90.00, 90.00 and 90.00 degrees. The distinct sites, in fractional coordinates, are Co at (0.000, 0.000, 0.000), Si at (0.500, 0.500, 0.228), W at (0.000, 0.000, 0.478) and W at (0.500, 0.500, 0.755).

The uncorrected formation energy is 0.025 eV per atom.